Crystalline ReWAu2 at its relaxed geometry, computed with PBE.

Total magnetic moment, μB/f.u.: 0.000
Excess energy over the best structure of this formula in the dataset, kcal/mol of atoms: 3.777
Electronic total energy, eV/atom: -7.527
ΔE_f, meV per atom: 462

Cell lengths 5.0499, 5.0499, 4.9186 Å; angles 80.91, 80.91, 32.11 degrees
Last column: nearest neighbours and their distance in Å.
Atoms (fractional coordinates):
Re: 0.7500 0.7500 0.7500  2 Re 2.79, 4 W 2.83, 6 Au 2.89-2.90
W: 0.2500 0.2500 0.2500  2 W 2.79, 4 Re 2.83, 6 Au 2.89-2.90
Au: 0.4992 0.4992 0.4998  6 Au 2.79-2.83, 3 Re 2.89-2.90, 3 W 2.89-2.90
Au: 0.0008 0.0008 0.0002  6 Au 2.79-2.83, 3 Re 2.89-2.90, 3 W 2.89-2.90